Here is a relaxed structure of HfTe2SI from the Alexandria database. Energies are from PBE.

- SG = P4/mmm, No. 123
- ρ (Mg/m³) = 5.600
- ΔE to the lowest computed polymorph (kcal/mol of atoms) = 0.00
- energy relative to the elements, uncorrected (eV per atom) = 0.2177

Cell lengths 5.5641, 5.5641, 5.6762 Å; angles 90.00, 90.00, 90.00 degrees
Last column: nearest neighbours and their distance in Å.
Fractional coordinates of all 5 atoms:
Hf  0.0000  0.0000  0.0000  4 Te 2.78, 2 I 2.84
Te  0.0000  0.5000  0.0000  2 Hf 2.78
Te  0.5000  0.0000  0.0000  2 Hf 2.78
S  0.5000  0.5000  0.5000  4 I 3.93, 8 Te 3.97
I  0.0000  0.0000  0.5000  2 Hf 2.84